No. 1
{"formula": "Ir3OsRh3", "functional": "PBE", "state": "optimized geometry", "lattice": [[11.326, 0.000, 0.000], [-5.663, 9.808, 0.000], [0.000, 0.000, 2.640]], "species": ["Ir", "Ir", "Ir", "Ir", "Ir", "Ir", "Os", "Os", "Rh", "Rh", "Rh", "Rh", "Rh", "Rh"], "fractional_positions": [[0.142, 0.718, 0.250], [0.282, 0.424, 0.250], [0.424, 0.142, 0.750], [0.576, 0.858, 0.250], [0.718, 0.576, 0.750], [0.858, 0.282, 0.750], [0.333, 0.667, 0.250], [0.667, 0.333, 0.750], [0.076, 0.452, 0.250], [0.376, 0.924, 0.250], [0.452, 0.376, 0.750], [0.548, 0.624, 0.250], [0.624, 0.076, 0.750], [0.924, 0.548, 0.750]], "mass_density_g_cm3": 12.181, "energy_ev_per_atom": -7.824, "e_form_mev_per_atom": 728, "magnetic_moment_mub_per_fu": 0.00}


No. 2
{"formula": "Ba3In2Rh3", "functional": "PBE", "state": "optimized geometry", "lattice": [[8.702, 0.000, 0.000], [0.000, 15.564, 0.000], [0.000, 0.000, 6.940]], "species": ["Ba", "Ba", "Ba", "Ba", "Ba", "Ba", "Ba", "Ba", "Ba", "Ba", "Ba", "Ba", "In", "In", "In", "In", "In", "In", "In", "In", "Rh", "Rh", "Rh", "Rh", "Rh", "Rh", "Rh", "Rh", "Rh", "Rh", "Rh", "Rh"], "fractional_positions": [[0.044, 0.110, 0.153], [0.044, 0.390, 0.153], [0.100, 0.750, 0.386], [0.400, 0.250, 0.886], [0.456, 0.610, 0.653], [0.456, 0.890, 0.653], [0.544, 0.110, 0.347], [0.544, 0.390, 0.347], [0.600, 0.750, 0.114], [0.900, 0.250, 0.614], [0.956, 0.610, 0.847], [0.956, 0.890, 0.847], [0.192, 0.088, 0.632], [0.192, 0.412, 0.632], [0.308, 0.588, 0.132], [0.308, 0.912, 0.132], [0.692, 0.088, 0.868], [0.692, 0.412, 0.868], [0.808, 0.588, 0.368], [0.808, 0.912, 0.368], [0.112, 0.549, 0.414], [0.112, 0.951, 0.414], [0.244, 0.250, 0.460], [0.256, 0.750, 0.960], [0.388, 0.049, 0.914], [0.388, 0.451, 0.914], [0.612, 0.549, 0.086], [0.612, 0.951, 0.086], [0.744, 0.250, 0.040], [0.756, 0.750, 0.540], [0.888, 0.049, 0.586], [0.888, 0.451, 0.586]], "mass_density_g_cm3": 6.716, "energy_ev_per_atom": -4.501, "e_form_mev_per_atom": -338, "magnetic_moment_mub_per_fu": 0.00}


No. 3
{"formula": "Pm2Nd3In4", "functional": "PBE", "state": "optimized geometry", "lattice": [[4.704, -2.719, 0.000], [4.704, 2.719, 0.000], [-0.011, 0.000, 10.475]], "species": ["Pm", "Pm", "Nd", "Nd", "Nd", "In", "In", "In", "In"], "fractional_positions": [[0.167, 0.167, 0.280], [0.833, 0.833, 0.720], [0.167, 0.167, 0.923], [0.500, 0.500, 0.500], [0.833, 0.833, 0.077], [0.167, 0.167, 0.600], [0.500, 0.500, 0.152], [0.500, 0.500, 0.848], [0.833, 0.833, 0.400]], "mass_density_g_cm3": 7.326, "energy_ev_per_atom": -4.277, "e_form_mev_per_atom": -415, "magnetic_moment_mub_per_fu": 0.00}


No. 4
{"formula": "Ba2InC", "functional": "PBE", "state": "optimized geometry", "lattice": [[0.000, 3.986, 3.986], [3.986, 0.000, 3.986], [3.986, 3.986, 0.000]], "species": ["Ba", "Ba", "In", "C"], "fractional_positions": [[0.250, 0.250, 0.250], [0.750, 0.750, 0.750], [0.000, 0.000, 0.000], [0.500, 0.500, 0.500]], "mass_density_g_cm3": 5.264, "energy_ev_per_atom": -3.125, "e_form_mev_per_atom": 827, "magnetic_moment_mub_per_fu": 0.00}


No. 5
{"formula": "LiCuAu", "functional": "PBE", "state": "optimized geometry", "lattice": [[14.238, 0.000, 0.000], [0.000, 2.778, 0.000], [0.000, 0.000, 4.474]], "species": ["Li", "Li", "Li", "Li", "Cu", "Cu", "Cu", "Cu", "Au", "Au", "Au", "Au"], "fractional_positions": [[0.221, 0.250, 0.118], [0.279, 0.750, 0.618], [0.721, 0.250, 0.382], [0.779, 0.750, 0.882], [0.064, 0.750, 0.126], [0.436, 0.250, 0.626], [0.564, 0.750, 0.374], [0.936, 0.250, 0.874], [0.114, 0.250, 0.620], [0.386, 0.750, 0.120], [0.614, 0.250, 0.880], [0.886, 0.750, 0.380]], "mass_density_g_cm3": 10.039, "energy_ev_per_atom": -3.317, "e_form_mev_per_atom": -221, "magnetic_moment_mub_per_fu": 0.00}